(1)
This record from Alexandria via LeMat-Bulk describes a relaxed CuTe3As crystal. The functional is PBE-GGA.

POSCAR file:
```
CuTe3As
1.0
4.313 0.000 0.000
0.014 7.063 0.000
2.151 0.000 9.464
Cu Te As
2 6 2
Direct
0.000 0.000 0.000
0.108 0.500 0.777
0.126 0.137 0.748
0.323 0.902 0.355
0.444 0.132 0.113
0.665 0.632 0.664
0.793 0.402 0.422
0.988 0.637 0.029
0.399 0.535 0.214
0.718 0.035 0.563
```

Output
The relative energy among the computed polymorphs is 0 meV per atom. For the spin magnetization, the calculation gives 0.000 Bohr magnetons per cell. Its raw formation energy is 0.016 eV/atom.

---

(2)
This record from Alexandria via LeMat-Bulk describes a relaxed Cu4TeAs crystal. The functional is PBE-GGA.

POSCAR file:
```
Cu4TeAs
1.0
0.000 3.602 3.602
3.602 0.000 3.602
3.602 3.602 0.000
Cu Te As
4 1 1
Direct
0.124 0.124 0.124
0.124 0.124 0.627
0.124 0.627 0.124
0.627 0.124 0.124
0.500 0.500 0.500
0.750 0.750 0.750
```

Output
For the spin magnetization, the calculation gives 0.000 Bohr magnetons per cell. Its raw formation energy is 0.224 eV/atom.